# Tl2AgPb

A relaxed Tl2AgPb crystal (PBE-GGA, Alexandria).

Results
V	28.8	A^3/atom
ΔH_f (0 K)	0.17	eV/atom
space group	I-42d, No. 122
uncorrected energy	-2.649	eV per atom

Lattice parameters (Å, degrees): 4.4606 4.4606 11.9829 79.27 79.27 90.00
Closest atoms and distances in Å follow each position.
Atoms (fractional coordinates):
1 Pb 0.0000 0.0000 0.0000  4 Ag 3.15, 4 Tl 3.31
2 Tl 0.6164 0.1250 0.2500  4 Tl 3.10-3.21, 2 Ag 3.28, 2 Pb 3.31
3 Ag 0.5000 0.5000 0.0000  4 Pb 3.15, 4 Tl 3.28
4 Ag 0.2500 0.7500 0.5000  4 Pb 3.15, 4 Tl 3.28
5 Tl 0.8750 0.8664 0.7500  4 Tl 3.10-3.21, 2 Ag 3.28, 2 Pb 3.31
6 Pb 0.7500 0.2500 0.5000  4 Ag 3.15, 4 Tl 3.31
7 Tl 0.3750 0.3836 0.7500  4 Tl 3.10-3.21, 2 Ag 3.28, 2 Pb 3.31
8 Tl 0.1336 0.6250 0.2500  4 Tl 3.10-3.21, 2 Ag 3.28, 2 Pb 3.31